(1)
# Ba2GaSbAs

An optimized crystal structure of Ba2GaSbAs (PBE-GGA, Alexandria).

a = 4.7255 Å, b = 7.7851 Å, c = 10.3065 Å
α = 107.19°, β = 90.00°, γ = 90.00°
Closest atoms and distances in Å follow each position.
Atoms (fractional coordinates):
Ba: 0.7500 0.7520 0.0225  3 As 3.14-3.28
Ba: 0.2500 0.2112 0.4001  2 As 3.28, 1 Ga 3.52
Ba: 0.2500 0.2480 0.9775  3 As 3.14-3.28
Ba: 0.7500 0.7888 0.5999  2 As 3.28, 1 Ga 3.52
As: 0.7500 0.1670 0.1722  1 Ga 2.40
As: 0.2500 0.8330 0.8278  1 Ga 2.40
Ga: 0.7500 0.4880 0.2694  1 As 2.40
Ga: 0.2500 0.5120 0.7306  1 As 2.40
Sb: 0.7500 0.3230 0.7028  2 Ga 2.75
Sb: 0.2500 0.6770 0.2972  2 Ga 2.75

Results
magnetization: 0.00 μB per cell
DFT total energy: -39.70 eV per cell
E_form (uncorrected): -0.84 eV per atom


(2)
# PrCd4Sn

An optimized crystal structure of PrCd4Sn (PBE-GGA, Alexandria).

a = 6.0009 Å, b = 6.0009 Å, c = 6.0009 Å
α = 60.00°, β = 60.00°, γ = 60.00°
Closest atoms and distances in Å follow each position.
Atoms (fractional coordinates):
Cd: 0.1245 0.6252 0.6252  6 Cd 3.00
Cd: 0.6252 0.6252 0.1245  6 Cd 3.00
Cd: 0.6252 0.1245 0.6252  6 Cd 3.00
Cd: 0.6252 0.6252 0.6252  6 Cd 3.00
Pr: 0.2500 0.2500 0.2500  12 Cd 3.52, 4 Sn 3.67
Sn: 0.0000 0.0000 0.0000  12 Cd 3.52, 4 Pr 3.67

Results
magnetization: 0.00 μB per cell
DFT total energy: -13.32 eV per cell


(3)
# Nd4ErTh3

An optimized crystal structure of Nd4ErTh3 (PBE-GGA, Alexandria).

a = 5.0896 Å, b = 10.3201 Å, c = 10.2003 Å
α = 90.00°, β = 90.00°, γ = 90.00°
Closest atoms and distances in Å follow each position.
Atoms (fractional coordinates):
Nd: 0.0644 0.1347 0.2503  8 Nd 3.60-3.80, 3 Th 3.60-3.61, 1 Er 3.61
Nd: 0.5644 0.8653 0.7503  8 Nd 3.60-3.80, 3 Th 3.60-3.61, 1 Er 3.61
Nd: 0.0644 0.8623 0.0000  4 Th 3.57-3.58, 8 Nd 3.60-3.80
Nd: 0.5644 0.1377 0.5000  4 Th 3.57-3.58, 8 Nd 3.60-3.80
Nd: 0.5644 0.1314 0.0000  8 Nd 3.60-3.77, 2 Er 3.63, 2 Th 3.65
Nd: 0.0644 0.8686 0.5000  8 Nd 3.60-3.77, 2 Er 3.63, 2 Th 3.65
Nd: 0.0644 0.1347 0.7497  8 Nd 3.60-3.80, 3 Th 3.60-3.61, 1 Er 3.61
Nd: 0.5644 0.8653 0.2497  8 Nd 3.60-3.80, 3 Th 3.60-3.61, 1 Er 3.61
Er: 0.0644 0.3823 0.0000  8 Th 3.51-3.62, 4 Nd 3.61-3.63
Er: 0.5644 0.6177 0.5000  8 Th 3.51-3.62, 4 Nd 3.61-3.63
Th: 0.0644 0.6175 0.2479  3 Er 3.51-3.62, 5 Th 3.52-3.59, 4 Nd 3.57-3.65
Th: 0.0644 0.6175 0.7521  3 Er 3.51-3.62, 5 Th 3.52-3.59, 4 Nd 3.57-3.65
Th: 0.5644 0.3825 0.7479  3 Er 3.51-3.62, 5 Th 3.52-3.59, 4 Nd 3.57-3.65
Th: 0.0644 0.3817 0.5000  2 Er 3.52, 6 Th 3.54-3.59, 4 Nd 3.58-3.60
Th: 0.5644 0.3825 0.2521  3 Er 3.51-3.62, 5 Th 3.52-3.59, 4 Nd 3.57-3.65
Th: 0.5644 0.6183 0.0000  2 Er 3.52, 6 Th 3.54-3.59, 4 Nd 3.58-3.60

Results
magnetization: 0.00 μB per cell
DFT total energy: -91.25 eV per cell


(4)
# BaCa2In

An optimized crystal structure of BaCa2In (PBE-GGA, Alexandria).

a = 7.3250 Å, b = 7.3250 Å, c = 5.9866 Å
α = 65.88°, β = 65.88°, γ = 32.74°
Closest atoms and distances in Å follow each position.
Atoms (fractional coordinates):
Ba: 0.2135 0.2135 0.2864  2 In 3.55, 4 Ca 3.77
In: 0.4869 0.4869 0.5132  2 Ca 3.22, 2 Ba 3.55
Ca: 0.0065 0.0065 0.9934  4 In 3.64-3.65, 2 Ba 3.99, 2 Ca 4.04
Ca: 0.7930 0.7930 0.7069  2 In 3.22

Results
magnetization: 0.00 μB per cell
DFT total energy: -9.27 eV per cell


(5)
# HoLuGaAu

An optimized crystal structure of HoLuGaAu (PBE-GGA, Alexandria).

a = 5.0321 Å, b = 5.0321 Å, c = 5.0321 Å
α = 60.00°, β = 60.00°, γ = 60.00°
Closest atoms and distances in Å follow each position.
Atoms (fractional coordinates):
Au: 0.7500 0.7500 0.7500  4 Ho 3.08, 4 Lu 3.08
Ho: 0.0000 0.0000 0.0000  4 Ga 3.08, 4 Au 3.08
Ga: 0.2500 0.2500 0.2500  4 Ho 3.08, 4 Lu 3.08
Lu: 0.5000 0.5000 0.5000  4 Ga 3.08, 4 Au 3.08

Results
magnetization: 0.00 μB per cell
DFT total energy: -18.25 eV per cell


(6)
# Y2BiBr

An optimized crystal structure of Y2BiBr (PBE-GGA, Alexandria).

a = 6.6570 Å, b = 6.6570 Å, c = 8.4086 Å
α = 66.68°, β = 66.68°, γ = 90.00°
Closest atoms and distances in Å follow each position.
Atoms (fractional coordinates):
Bi: 0.7500 0.2500 0.5000  4 Y 2.99
Bi: 0.0000 0.0000 0.0000  4 Y 2.99
Y: 0.6083 0.1250 0.2500  2 Br 2.87, 2 Bi 2.99
Y: 0.3750 0.3917 0.7500  2 Br 2.87, 2 Bi 2.99
Y: 0.1417 0.6250 0.2500  2 Br 2.87, 2 Bi 2.99
Y: 0.8750 0.8583 0.7500  2 Br 2.87, 2 Bi 2.99
Br: 0.2500 0.7500 0.5000  4 Y 2.87
Br: 0.5000 0.5000 0.0000  4 Y 2.87

Results
magnetization: 0.00 μB per cell
E above lowest polymorph: 375 meV/atom
DFT total energy: -40.77 eV per cell
E_form (uncorrected): -0.48 eV per atom